The following is a PBE-GGA calculation of Sr2Hg3Ge2 after structural relaxation, from Alexandria.

abc: 6.1588 6.1588 7.0148
angles: 90.90 90.90 46.25
Last column: nearest neighbours and their distance in Å.
Fractional coordinates of all 7 atoms:
Sr 0.1372 0.1372 0.1908  5 Ge 3.26-3.47, 5 Hg 3.33-3.62
Sr 0.8628 0.8628 0.8092  5 Ge 3.26-3.47, 5 Hg 3.33-3.62
Hg 0.1714 0.1714 0.6637  2 Ge 3.05, 2 Hg 3.30, 3 Sr 3.33-3.39
Hg 0.5000 0.5000 0.5000  2 Ge 2.80
Hg 0.8286 0.8286 0.3363  2 Ge 3.05, 2 Hg 3.30, 3 Sr 3.33-3.39
Ge 0.4205 0.4205 0.1205  1 Ge 2.49
Ge 0.5795 0.5795 0.8795  1 Ge 2.49

VASP energy   -2.31 eV/atom
Theoretical density   7.97 g/cm³
Energy of formation from the pure elements   -0.3820 eV per atom
M_tot   0.00 μB per cell